(P)
Compound: CaLaAu4
Source: Alexandria via LeMat-Bulk
Functional: PBE
Structure: relaxed

Lattice parameters (Å, degrees): 8.147 8.147 8.147 90.00 90.00 90.00
Space group F-43m (No. 216)
Unique sites:
Ca 0.000 0.000 0.000 (multiplicity 4)
La 0.250 0.250 0.750 (multiplicity 4)
Au 0.126 0.126 0.374 (multiplicity 16)



(Q)
Compound: CaLaAu4
Source: Alexandria via LeMat-Bulk
Functional: PBE
Structure: relaxed

Lattice parameters (Å, degrees): 8.608 8.311 4.755 90.00 123.43 90.00
Space group C2 (No. 5)
Unique sites:
Ca 0.000 0.000 0.000 (multiplicity 2)
La 0.000 0.423 0.500 (multiplicity 2)
Au 0.211 0.625 0.210 (multiplicity 4)
Au 0.213 0.798 0.712 (multiplicity 4)



(R)
Compound: CaLaAu4
Source: Alexandria via LeMat-Bulk
Functional: PBE
Structure: relaxed

Lattice parameters (Å, degrees): 4.064 4.064 18.322 90.00 90.00 90.00
Space group I-4m2 (No. 119)
Unique sites:
Ca 0.000 0.000 0.000 (multiplicity 2)
La 0.000 0.500 0.250 (multiplicity 2)
Au 0.000 0.000 0.426 (multiplicity 4)
Au 0.000 0.500 0.673 (multiplicity 4)



Stability ranking, top entry: (Q); the second entry is 0.052 eV/atom less favorable.



(P)
Compound: Li3CaAu
Source: Alexandria via LeMat-Bulk
Functional: PBE
Structure: relaxed

Lattice parameters (Å, degrees): 4.940 4.940 4.940 90.00 90.00 90.00
Space group Pm-3m (No. 221)
Unique sites:
Li 0.000 0.000 0.500 (multiplicity 3)
Ca 0.500 0.500 0.500 (multiplicity 1)
Au 0.000 0.000 0.000 (multiplicity 1)



(Q)
Compound: Li3CaAu
Source: Alexandria via LeMat-Bulk
Functional: PBE
Structure: relaxed

Lattice parameters (Å, degrees): 4.838 5.243 5.291 110.20 90.32 117.30
Space group P1 (No. 1)
Unique sites:
Li 0.000 0.000 0.000 (multiplicity 1)
Li 0.182 0.364 0.651 (multiplicity 1)
Li 0.677 0.355 0.981 (multiplicity 1)
Ca 0.415 0.830 0.362 (multiplicity 1)
Au 0.762 0.524 0.519 (multiplicity 1)



(R)
Compound: Li3CaAu
Source: Alexandria via LeMat-Bulk
Functional: PBE
Structure: relaxed

Lattice parameters (Å, degrees): 7.179 4.241 7.711 90.00 105.28 90.00
Space group P2_1/m (No. 11)
Unique sites:
Li 0.105 0.250 0.140 (multiplicity 2)
Li 0.349 0.750 0.398 (multiplicity 2)
Li 0.358 0.750 0.029 (multiplicity 2)
Ca 0.195 0.250 0.679 (multiplicity 2)
Au 0.488 0.250 0.248 (multiplicity 2)



Stability ranking, top entry: (R); the second entry is 0.020 eV/atom less favorable.